(1)
A relaxed structure of TmTlCdTe3, computed with PBE.

spin magnetization = 0.0 μB per formula unit
energy relative to the lowest polymorph listed for this composition = 0.096 eV per atom

a b c (Å): 8.6804 4.7095 18.5050
angles (deg): 90.00 90.00 90.00
With the nearest neighbours (Å) after each atom.
Element x y z (fractional)
Te  0.1264  0.7500  0.9436  3 Tm 3.09-3.15, 1 Cd 3.15
Te  0.0044  0.2500  0.5757  2 Cd 2.91, 1 Tm 3.17
Te  0.5044  0.2500  0.9243  2 Cd 2.91, 1 Tm 3.17
Te  0.8736  0.2500  0.0564  3 Tm 3.09-3.15, 1 Cd 3.15
Te  0.7657  0.7500  0.7952  2 Cd 2.85-3.14, 1 Tm 3.06
Te  0.6264  0.7500  0.5564  3 Tm 3.09-3.15, 1 Cd 3.15
Te  0.9956  0.7500  0.4243  2 Cd 2.91, 1 Tm 3.17
Te  0.2657  0.7500  0.7048  2 Cd 2.85-3.14, 1 Tm 3.06
Te  0.2343  0.2500  0.2048  2 Cd 2.85-3.14, 1 Tm 3.06
Te  0.7343  0.2500  0.2952  2 Cd 2.85-3.14, 1 Tm 3.06
Te  0.4956  0.7500  0.0757  2 Cd 2.91, 1 Tm 3.17
Te  0.3736  0.2500  0.4436  3 Tm 3.09-3.15, 1 Cd 3.15
Tl  0.4421  0.7500  0.3041  6 Te 3.46-3.54, 2 Cd 3.78
Tl  0.9421  0.7500  0.1959  6 Te 3.46-3.54, 2 Cd 3.78
Tl  0.5579  0.2500  0.6959  6 Te 3.46-3.54, 2 Cd 3.78
Tl  0.0579  0.2500  0.8041  6 Te 3.46-3.54, 2 Cd 3.78
Cd  0.9170  0.7500  0.6587  5 Te 2.85-3.15
Cd  0.4170  0.7500  0.8413  5 Te 2.85-3.15
Cd  0.0830  0.2500  0.3413  5 Te 2.85-3.15
Cd  0.5830  0.2500  0.1587  5 Te 2.85-3.15
Tm  0.2658  0.7500  0.5392  7 Te 3.06-3.34
Tm  0.2342  0.2500  0.0392  7 Te 3.06-3.34
Tm  0.7342  0.2500  0.4608  7 Te 3.06-3.34
Tm  0.7658  0.7500  0.9608  7 Te 3.06-3.34



(2)
A relaxed structure of TmTlCdTe3, computed with PBE.

spin magnetization = 0.0 μB per formula unit
energy relative to the lowest polymorph listed for this composition = 0.064 eV per atom

a b c (Å): 9.8201 9.8201 9.8217
angles (deg): 103.02 103.02 25.84
With the nearest neighbours (Å) after each atom.
Element x y z (fractional)
Te  0.5000  0.5000  0.0000  2 Cd 2.88
Te  0.3365  0.3365  0.6348  3 Tm 3.01-3.06
Te  0.6743  0.6743  0.8000  1 Cd 2.88, 2 Tm 3.04
Te  0.3257  0.3257  0.2000  1 Cd 2.88, 2 Tm 3.04
Te  0.6635  0.6635  0.3652  3 Tm 3.01-3.06
Te  0.0000  0.0000  0.5000  4 Cd 3.03, 2 Tm 3.27
Tm  0.8246  0.8246  0.4141  6 Te 3.01-3.27
Tm  0.1754  0.1754  0.5859  6 Te 3.01-3.27
Tl  0.1379  0.1379  0.0702  7 Te 3.38-3.63
Tl  0.8621  0.8621  0.9298  7 Te 3.38-3.63
Cd  0.4803  0.4803  0.2821  4 Te 2.88-3.03
Cd  0.5197  0.5197  0.7179  4 Te 2.88-3.03



(3)
A relaxed structure of TmTlCdTe3, computed with PBE.

spin magnetization = 0.0 μB per formula unit
energy relative to the lowest polymorph listed for this composition = 0.001 eV per atom

a b c (Å): 15.4644 4.4447 11.8741
angles (deg): 90.00 90.00 90.00
With the nearest neighbours (Å) after each atom.
Element x y z (fractional)
Te  0.1494  0.2500  0.7332  1 Cd 2.82, 2 Tm 3.09
Te  0.8506  0.7500  0.2668  1 Cd 2.82, 2 Tm 3.09
Te  0.9026  0.7500  0.8725  3 Cd 2.88-2.95, 1 Tm 3.20
Te  0.4007  0.2500  0.9212  3 Tm 3.00-3.07
Te  0.3506  0.7500  0.2332  1 Cd 2.82, 2 Tm 3.09
Te  0.5974  0.2500  0.3725  3 Cd 2.88-2.95, 1 Tm 3.20
Te  0.4026  0.7500  0.6275  3 Cd 2.88-2.95, 1 Tm 3.20
Te  0.5993  0.7500  0.0788  3 Tm 3.00-3.07
Te  0.0993  0.7500  0.4212  3 Tm 3.00-3.07
Te  0.6494  0.2500  0.7668  1 Cd 2.82, 2 Tm 3.09
Te  0.9007  0.2500  0.5788  3 Tm 3.00-3.07
Te  0.0974  0.2500  0.1275  3 Cd 2.88-2.95, 1 Tm 3.20
Tm  0.9755  0.2500  0.3457  6 Te 3.00-3.20
Tm  0.0245  0.7500  0.6543  6 Te 3.00-3.20
Tm  0.4755  0.2500  0.1543  6 Te 3.00-3.20
Tm  0.5245  0.7500  0.8457  6 Te 3.00-3.20
Cd  0.4804  0.7500  0.4004  4 Te 2.82-2.95
Cd  0.5196  0.2500  0.5996  4 Te 2.82-2.95
Cd  0.0196  0.2500  0.9004  4 Te 2.82-2.95
Cd  0.9804  0.7500  0.0996  4 Te 2.82-2.95
Tl  0.2386  0.7500  0.9495  6 Te 3.37-3.76
Tl  0.2614  0.2500  0.4495  6 Te 3.37-3.76
Tl  0.7614  0.2500  0.0505  6 Te 3.37-3.76
Tl  0.7386  0.7500  0.5505  6 Te 3.37-3.76



(4)
A relaxed structure of YTlCdTe3, computed with PBE.

spin magnetization = 0.0 μB per formula unit
energy relative to the lowest polymorph listed for this composition = 0.010 eV per atom

a b c (Å): 8.8193 4.4656 11.2224
angles (deg): 90.00 107.77 90.00
With the nearest neighbours (Å) after each atom.
Element x y z (fractional)
Te  0.7554  0.7500  0.0588  3 Cd 2.90-2.97
Te  0.4339  0.7500  0.6405  1 Cd 2.81, 2 Y 3.12
Te  0.5661  0.2500  0.3595  1 Cd 2.81, 2 Y 3.12
Te  0.2446  0.2500  0.9412  3 Cd 2.90-2.97
Te  0.0558  0.2500  0.3552  3 Y 3.05-3.10, 2 Tl 3.41
Te  0.9442  0.7500  0.6448  3 Y 3.05-3.10, 2 Tl 3.41
Cd  0.5769  0.2500  0.1115  4 Te 2.81-2.97
Cd  0.4231  0.7500  0.8885  4 Te 2.81-2.97
Tl  0.7542  0.2500  0.7802  4 Te 3.41-3.57
Tl  0.2458  0.7500  0.2198  4 Te 3.41-3.57
Y  0.8138  0.7500  0.3597  6 Te 3.05-3.26
Y  0.1862  0.2500  0.6403  6 Te 3.05-3.26



(5)
A relaxed structure of YTlCdTe3, computed with PBE.

spin magnetization = 0.0 μB per formula unit
energy relative to the lowest polymorph listed for this composition = 0.061 eV per atom

a b c (Å): 4.5651 12.9458 13.5500
angles (deg): 90.00 90.00 90.00
With the nearest neighbours (Å) after each atom.
Element x y z (fractional)
Cd  0.2500  0.2466  0.7982  4 Te 2.82-2.87
Cd  0.2500  0.7466  0.7018  4 Te 2.82-2.87
Cd  0.7500  0.7534  0.2018  4 Te 2.82-2.87
Cd  0.7500  0.2534  0.2982  4 Te 2.82-2.87
Tl  0.7500  0.6707  0.5087  5 Te 3.44-3.56, 2 Cd 3.61
Tl  0.7500  0.1707  0.9913  5 Te 3.44-3.56, 2 Cd 3.61
Tl  0.2500  0.8293  0.0087  5 Te 3.44-3.56, 2 Cd 3.61
Tl  0.2500  0.3293  0.4913  5 Te 3.44-3.56, 2 Cd 3.61
Te  0.7500  0.0888  0.4347  1 Cd 2.82, 2 Y 3.14
Te  0.2500  0.2335  0.1717  2 Cd 2.87, 1 Y 3.09
Te  0.7500  0.9697  0.1593  1 Cd 2.86, 2 Y 3.17
Te  0.2500  0.0303  0.8407  1 Cd 2.86, 2 Y 3.17
Te  0.7500  0.7665  0.8283  2 Cd 2.87, 1 Y 3.09
Te  0.2500  0.7335  0.3283  2 Cd 2.87, 1 Y 3.09
Te  0.7500  0.4697  0.3407  1 Cd 2.86, 2 Y 3.17
Te  0.7500  0.5888  0.0653  1 Cd 2.82, 2 Y 3.14
Te  0.2500  0.4112  0.9347  1 Cd 2.82, 2 Y 3.14
Te  0.2500  0.5303  0.6593  1 Cd 2.86, 2 Y 3.17
Te  0.2500  0.9112  0.5653  1 Cd 2.82, 2 Y 3.14
Te  0.7500  0.2665  0.6717  2 Cd 2.87, 1 Y 3.09
Y  0.2500  0.9718  0.3218  6 Te 3.09-3.39
Y  0.2500  0.4718  0.1782  6 Te 3.09-3.39
Y  0.7500  0.0282  0.6782  6 Te 3.09-3.39
Y  0.7500  0.5282  0.8218  6 Te 3.09-3.39



(6)
A relaxed structure of YTlCdTe3, computed with PBE.

spin magnetization = 0.0 μB per formula unit
energy relative to the lowest polymorph listed for this composition = 0.069 eV per atom

a b c (Å): 9.8599 9.8599 9.8380
angles (deg): 103.33 103.33 25.94
With the nearest neighbours (Å) after each atom.
Element x y z (fractional)
Cd  0.4810  0.4810  0.7824  4 Te 2.89-3.04
Cd  0.5190  0.5190  0.2176  4 Te 2.89-3.04
Te  0.6622  0.6622  0.8638  3 Y 3.04-3.09, 1 Cd 3.38
Te  0.3378  0.3378  0.1362  3 Y 3.04-3.09, 1 Cd 3.38
Te  0.5000  0.5000  0.5000  2 Cd 2.89
Te  0.0000  0.0000  0.0000  4 Cd 3.04, 2 Y 3.28
Te  0.6738  0.6738  0.3040  1 Cd 2.89, 2 Y 3.08
Te  0.3262  0.3262  0.6960  1 Cd 2.89, 2 Y 3.08
Tl  0.1375  0.1375  0.5698  7 Te 3.39-3.62
Tl  0.8625  0.8625  0.4302  7 Te 3.39-3.62
Y  0.8244  0.8244  0.9121  6 Te 3.04-3.28
Y  0.1756  0.1756  0.0879  6 Te 3.04-3.28